(1)
Density functional theory data (PBE) for a relaxed structure of Ca2Cd2Co.

It has space group P4/mbm (No. 127), with a = 7.5441 Å, b = 7.5441 Å, c = 4.7860 Å, α = 90.00°, β = 90.00° and γ = 90.00°. The distinct sites, in fractional coordinates, are Ca at (0.1655, 0.3345, 0.0000), Cd at (0.1435, 0.6435, 0.5000) and Co at (0.0000, 0.0000, 0.0000).

The density of states at the Fermi level is 6.67 states/eV/cell.

(2)
Density functional theory data (PBE) for a relaxed structure of CaCd2Co.

It has space group Immm (No. 71), with a = 3.3248 Å, b = 4.8521 Å, c = 10.3366 Å, α = 90.00°, β = 90.00° and γ = 90.00°. The distinct sites, in fractional coordinates, are Ca at (0.0000, 0.0000, 0.0000), Cd at (0.0000, 0.5000, 0.2049) and Co at (0.0000, 0.0000, 0.5000).

The density of states at the Fermi level is 5.11 states/eV/cell.

| no. | ΔE_f (eV/atom) |
| --- | --- |
| 1 | 0.309 |
| 2 | 0.082 |